VASP calculation (GGA-PBEsol) on a relaxed La3Sn5 crystal.

- E_tot: -5.44 eV per atom
- Formation enthalpy at 0 K: -0.778 eV/atom
- M_tot: 0.00 μB/f.u.

a = 6.5950 Å, b = 6.5950 Å, c = 10.5159 Å
α = 90.00°, β = 90.00°, γ = 102.55°
Element x y z (fractional)
Sn (0.6847, 0.6847, 0.0484)
Sn (0.5058, 0.9253, 0.2500)
Sn (0.3153, 0.3153, 0.9516)
Sn (0.9253, 0.5058, 0.2500)
Sn (0.3153, 0.3153, 0.5484)
Sn (0.4942, 0.0747, 0.7500)
Sn (0.0233, 0.0233, 0.7500)
Sn (0.9767, 0.9767, 0.2500)
Sn (0.0747, 0.4942, 0.7500)
Sn (0.6847, 0.6847, 0.4516)
La (0.7966, 0.2034, 0.5000)
La (0.6338, 0.6338, 0.7500)
La (0.2034, 0.7966, 0.0000)
La (0.2034, 0.7966, 0.5000)
La (0.7966, 0.2034, 0.0000)
La (0.3662, 0.3662, 0.2500)



VASP calculation (GGA-PBEsol) on a relaxed TcTeIO2 crystal.

- E_tot: -4.97 eV per atom
- Formation energy (no corrections): 437 meV/atom
- M_tot: 3.36 μB/f.u.

a = 4.0012 Å, b = 4.0012 Å, c = 6.5177 Å
α = 90.00°, β = 90.00°, γ = 90.00°
Site moments in Bohr magnetons follow the coordinates.
Element x y z (fractional)
Te (0.0000, 0.0000, 0.0000)  -0.03
O (0.0000, 0.5000, 0.0000)  0.01
O (0.5000, 0.0000, 0.0000)  0.01
Tc (0.5000, 0.5000, 0.5000)  2.95
I (0.0000, 0.0000, 0.5000)  0.03



VASP calculation (GGA-PBEsol) on a relaxed Zr2ScAl crystal.

- E_tot: -7.42 eV per atom
- Formation enthalpy at 0 K: -0.203 eV/atom
- M_tot: 0.00 μB/f.u.

a = 3.0810 Å, b = 3.0810 Å, c = 8.7279 Å
α = 90.00°, β = 90.00°, γ = 90.00°
Element x y z (fractional)
Sc (0.5000, 0.5000, 0.5000)
Zr (0.0000, 0.0000, 0.7712)
Zr (0.0000, 0.0000, 0.2288)
Al (0.5000, 0.5000, 0.0000)



VASP calculation (GGA-PBEsol) on a relaxed WS3F crystal.

- E_tot: -5.87 eV per atom
- Formation energy (no corrections): -94 meV/atom
- M_tot: 0.25 μB/f.u.

a = 4.5747 Å, b = 4.5747 Å, c = 4.5747 Å
α = 90.00°, β = 90.00°, γ = 90.00°
Site moments in Bohr magnetons follow the coordinates.
Element x y z (fractional)
F (0.5000, 0.5000, 0.5000)  0.14
S (0.0000, 0.5000, 0.0000)  0.03
S (0.5000, 0.0000, 0.0000)  0.03
S (0.0000, 0.0000, 0.5000)  0.03
W (0.0000, 0.0000, 0.0000)  -0.02



VASP calculation (GGA-PBEsol) on a relaxed MgZnS2 crystal.

- E_tot: -4.11 eV per atom
- Formation energy (no corrections): -1090 meV/atom
- M_tot: 0.00 μB/f.u.

a = 3.8836 Å, b = 3.8836 Å, c = 5.5367 Å
α = 90.00°, β = 90.00°, γ = 90.00°
Element x y z (fractional)
Mg (0.0000, 0.0000, 0.0000)
S (0.5000, 0.0000, 0.7356)
S (0.0000, 0.5000, 0.2644)
Zn (0.5000, 0.5000, 0.5000)



VASP calculation (GGA-PBEsol) on a relaxed ZnCu2SiSe4 crystal.

- E_tot: -4.31 eV per atom
- Formation energy (no corrections): -382 meV/atom
- M_tot: 0.00 μB/f.u.

a = 6.4092 Å, b = 6.7135 Å, c = 7.7075 Å
α = 90.00°, β = 90.00°, γ = 90.00°
Element x y z (fractional)
Cu (0.8352, 0.8262, 0.2518)
Cu (0.3352, 0.1738, 0.2482)
Cu (0.3352, 0.1738, 0.7518)
Cu (0.8352, 0.8262, 0.7482)
Si (0.8453, 0.3312, 0.5000)
Si (0.3453, 0.6688, 0.0000)
Se (0.4659, 0.8392, 0.7587)
Se (0.9846, 0.6831, 0.0000)
Se (0.4846, 0.3169, 0.5000)
Se (0.4659, 0.8392, 0.2413)
Se (0.9659, 0.1608, 0.2587)
Se (0.4618, 0.3452, 0.0000)
Se (0.9618, 0.6548, 0.5000)
Se (0.9659, 0.1608, 0.7413)
Zn (0.3449, 0.6523, 0.5000)
Zn (0.8449, 0.3477, 0.0000)



VASP calculation (GGA-PBEsol) on a relaxed Mg2ScCu crystal.

- E_tot: -3.48 eV per atom
- Formation enthalpy at 0 K: 0.115 eV/atom
- M_tot: 0.00 μB/f.u.

a = 2.9280 Å, b = 5.2117 Å, c = 5.7821 Å
α = 115.10°, β = 101.89°, γ = 96.01°
Element x y z (fractional)
Sc (0.0000, 0.5000, 0.0000)
Mg (0.5000, 0.5000, 0.5000)
Mg (0.0000, 0.0000, 0.5000)
Cu (0.5000, 0.0000, 0.0000)



VASP calculation (GGA-PBEsol) on a relaxed GeP2SeO crystal.

- E_tot: -4.62 eV per atom
- Formation energy (no corrections): 504 meV/atom
- M_tot: 0.00 μB/f.u.

a = 3.6736 Å, b = 4.8033 Å, c = 4.8033 Å
α = 90.00°, β = 90.00°, γ = 90.00°
Element x y z (fractional)
O (0.5000, 0.0000, 0.0000)
Se (0.0000, 0.0000, 0.0000)
P (0.0000, 0.0000, 0.5000)
P (0.0000, 0.5000, 0.0000)
Ge (0.5000, 0.5000, 0.5000)